ErTh2Sn9: optimized geometry, GGA-PBE.

For the energy of formation, the calculation gives -423.6 meV/atom.

It has space group P4/mmm (No. 123), with a = 4.742 Å, b = 4.742 Å, c = 14.160 Å, α = 90.00°, β = 90.00° and γ = 90.00°. The inequivalent atoms are Er at (0.000, 0.000, 0.000), Th at (0.000, 0.000, 0.333), Sn at (0.000, 0.500, 0.162), Sn at (0.000, 0.500, 0.500), Sn at (0.500, 0.500, 0.000) and Sn at (0.500, 0.500, 0.330).